# CrHgAs2O8

A geometry-optimized CrHgAs2O8 structure (PBE+U, Alexandria).

Output
M_tot in Bohr magnetons per cell: 2.0
V in Å³ per atom: 12.77
E in eV per atom: -5.727

Lattice parameters (Å, degrees): 7.984 7.984 7.984 35.49 35.49 35.49
Sites, in units of the cell vectors:
Cr  0.000  0.000  0.000
Hg  0.500  0.500  0.500
As  0.259  0.259  0.259
As  0.741  0.741  0.741
O  0.049  0.371  0.734
O  0.183  0.183  0.183
O  0.266  0.951  0.629
O  0.371  0.734  0.049
O  0.629  0.266  0.951
O  0.734  0.049  0.371
O  0.817  0.817  0.817
O  0.951  0.629  0.266